VASP calculation (PBE) on a relaxed Li2CoPd crystal.

Output
As for the space group: No. 216. The value obtained for the calculated total energy is -4.0694 eV per atom. Its calculated density is 5782 kg/m3. Its size of the total moment is 1.95 Bohr magnetons per cell. Its crystal system is cubic.

Structure (POSCAR):
```
Li2CoPd
1.0
0.000 2.952 2.952
2.952 0.000 2.952
2.952 2.952 0.000
Co Li Pd
1 2 1
Cartesian
1.476 1.476 1.476 Co
0.000 0.000 0.000 Li
4.429 4.429 4.429 Li
2.952 2.952 2.952 Pd
```